This record from Alexandria via LeMat-Bulk describes Fe2CuPd2 after structural relaxation. The functional is PBE.

a b c (Å): 2.715 19.102 2.671
angles (deg): 90.00 90.00 90.00
Space group Cmmm (No. 65)
One atom of each set of equivalent atoms:
Fe  0.000  0.197  0.000 [4 per cell]
Cu  0.000  0.000  0.000 [2 per cell]
Pd  0.000  0.401  0.500 [4 per cell]

- Relative energy among the computed polymorphs: 0.0000 eV per atom
- Crystal system: orthorhombic



This record from Alexandria via LeMat-Bulk describes Fe3CuPd4 after structural relaxation. The functional is PBE.

a b c (Å): 3.898 3.898 14.676
angles (deg): 90.00 90.00 90.00
Space group I4/mmm (No. 139)
One atom of each set of equivalent atoms:
Fe  0.000  0.000  0.000 [2 per cell]
Fe  0.000  0.000  0.252 [4 per cell]
Cu  0.000  0.000  0.500 [2 per cell]
Pd  0.000  0.500  0.124 [8 per cell]

- Crystal system: tetragonal



This record from Alexandria via LeMat-Bulk describes FeCuPd4 after structural relaxation. The functional is PBE.

a b c (Å): 8.693 2.739 7.427
angles (deg): 90.00 90.00 90.00
Space group Pmma (No. 51)
One atom of each set of equivalent atoms:
Fe  0.250  0.000  0.178 [2 per cell]
Cu  0.250  0.000  0.535 [2 per cell]
Pd  0.000  0.000  0.000 [2 per cell]
Pd  0.031  0.500  0.327 [4 per cell]
Pd  0.250  0.500  0.857 [2 per cell]

- Relative energy among the computed polymorphs: 0.0000 eV per atom
- Crystal system: orthorhombic



This record from Alexandria via LeMat-Bulk describes FeCu3Pd3 after structural relaxation. The functional is PBE.

a b c (Å): 8.449 8.457 5.687
angles (deg): 90.00 90.00 90.00
Space group Cmmm (No. 65)
One atom of each set of equivalent atoms:
Fe  0.236  0.000  0.000 [4 per cell]
Cu  0.000  0.211  0.000 [4 per cell]
Cu  0.000  0.217  0.500 [4 per cell]
Cu  0.214  0.000  0.500 [4 per cell]
Pd  0.000  0.500  0.252 [4 per cell]
Pd  0.250  0.250  0.250 [8 per cell]

- Crystal system: orthorhombic



This record from Alexandria via LeMat-Bulk describes Fe4CuPd15 after structural relaxation. The functional is PBE.

a b c (Å): 3.906 3.906 19.368
angles (deg): 90.00 90.00 90.00
Space group P4/mmm (No. 123)
One atom of each set of equivalent atoms:
Fe  0.000  0.000  0.101 [2 per cell]
Fe  0.000  0.000  0.302 [2 per cell]
Cu  0.000  0.000  0.500 [1 per cell]
Pd  0.000  0.500  0.000 [2 per cell]
Pd  0.000  0.500  0.200 [4 per cell]
Pd  0.000  0.500  0.399 [4 per cell]
Pd  0.500  0.500  0.100 [2 per cell]
Pd  0.500  0.500  0.300 [2 per cell]
Pd  0.500  0.500  0.500 [1 per cell]

- Crystal system: tetragonal



This record from Alexandria via LeMat-Bulk describes Fe2Cu2Pd5 after structural relaxation. The functional is PBE.

a b c (Å): 15.453 6.436 5.408
angles (deg): 90.00 90.00 90.00
Space group Ima2 (No. 46)
One atom of each set of equivalent atoms:
Fe  0.041  0.139  0.000 [8 per cell]
Cu  0.000  0.000  0.554 [4 per cell]
Cu  0.250  0.540  0.012 [4 per cell]
Pd  0.104  0.717  0.762 [8 per cell]
Pd  0.164  0.239  0.258 [8 per cell]
Pd  0.250  0.571  0.493 [4 per cell]

- Crystal system: orthorhombic



This record from Alexandria via LeMat-Bulk describes Fe2CuPd2 after structural relaxation. The functional is PBE.

a b c (Å): 3.106 3.106 14.253
angles (deg): 90.00 90.00 90.00
Space group I4/mmm (No. 139)
One atom of each set of equivalent atoms:
Fe  0.000  0.500  0.250 [4 per cell]
Cu  0.000  0.000  0.000 [2 per cell]
Pd  0.000  0.000  0.398 [4 per cell]

- Relative energy among the computed polymorphs: 0.3578 eV per atom
- Crystal system: tetragonal



This record from Alexandria via LeMat-Bulk describes FeCu2Pd7 after structural relaxation. The functional is PBE.

a b c (Å): 8.258 15.142 2.691
angles (deg): 90.00 90.00 90.00
Space group Cmmm (No. 65)
One atom of each set of equivalent atoms:
Fe  0.000  0.000  0.000 [2 per cell]
Cu  0.000  0.333  0.500 [4 per cell]
Pd  0.000  0.191  0.000 [4 per cell]
Pd  0.000  0.500  0.500 [2 per cell]
Pd  0.220  0.092  0.500 [8 per cell]

- Crystal system: orthorhombic



This record from Alexandria via LeMat-Bulk describes FeCu5Pd4 after structural relaxation. The functional is PBE.

a b c (Å): 12.915 2.676 8.438
angles (deg): 90.00 108.44 90.00
Space group C2/m (No. 12)
One atom of each set of equivalent atoms:
Fe  0.000  0.000  0.000 [2 per cell]
Cu  0.000  0.000  0.500 [2 per cell]
Cu  0.183  0.500  0.579 [4 per cell]
Cu  0.220  0.500  0.119 [4 per cell]
Pd  0.090  0.500  0.806 [4 per cell]
Pd  0.113  0.000  0.297 [4 per cell]

- Relative energy among the computed polymorphs: 0.0595 eV per atom
- Crystal system: monoclinic



This record from Alexandria via LeMat-Bulk describes FeCuPd2 after structural relaxation. The functional is PBE.

a b c (Å): 2.7484 2.7484 25.7094
angles (deg): 90.00 90.00 120.00
Space group R3m (No. 160, hexagonal axes)
One atom of each set of equivalent atoms:
Fe  0.0000  0.0000  0.0000 [3 per cell]
Cu  0.0000  0.0000  0.8333 [3 per cell]
Pd  0.0000  0.0000  0.4158 [3 per cell]
Pd  0.0000  0.0000  0.5843 [3 per cell]

- Crystal system: trigonal



This record from Alexandria via LeMat-Bulk describes Fe2CuPd2 after structural relaxation. The functional is PBE.

a b c (Å): 7.335 7.335 2.730
angles (deg): 90.00 90.00 90.00
Space group P4/mbm (No. 127)
One atom of each set of equivalent atoms:
Fe  0.162  0.338  0.000 [4 per cell]
Cu  0.000  0.000  0.500 [2 per cell]
Pd  0.135  0.635  0.500 [4 per cell]

- Relative energy among the computed polymorphs: 0.1260 eV per atom
- Crystal system: tetragonal



This record from Alexandria via LeMat-Bulk describes Fe2CuPd6 after structural relaxation. The functional is PBE.

a b c (Å): 3.963 11.074 11.879
angles (deg): 90.00 90.00 90.00
Space group Fmmm (No. 69)
One atom of each set of equivalent atoms:
Fe  0.000  0.000  0.163 [8 per cell]
Cu  0.000  0.000  0.500 [4 per cell]
Pd  0.000  0.156  0.332 [16 per cell]
Pd  0.000  0.159  0.000 [8 per cell]

- Relative energy among the computed polymorphs: 0.0000 eV per atom
- Crystal system: orthorhombic



This record from Alexandria via LeMat-Bulk describes FeCu3Pd after structural relaxation. The functional is PBE.

a b c (Å): 4.361 4.361 4.361
angles (deg): 90.00 90.00 90.00
Space group Pm-3m (No. 221)
One atom of each set of equivalent atoms:
Fe  0.000  0.000  0.000 [1 per cell]
Cu  0.000  0.000  0.500 [3 per cell]
Pd  0.500  0.500  0.500 [1 per cell]

- Relative energy among the computed polymorphs: 0.0000 eV per atom
- Crystal system: cubic



This record from Alexandria via LeMat-Bulk describes FeCu5Pd6 after structural relaxation. The functional is PBE.

a b c (Å): 4.304 12.893 5.970
angles (deg): 90.00 90.00 90.00
Space group Cmmm (No. 65)
One atom of each set of equivalent atoms:
Fe  0.000  0.000  0.000 [2 per cell]
Cu  0.000  0.000  0.500 [2 per cell]
Cu  0.000  0.332  0.000 [4 per cell]
Cu  0.000  0.333  0.500 [4 per cell]
Pd  0.000  0.165  0.250 [8 per cell]
Pd  0.000  0.500  0.249 [4 per cell]

- Relative energy among the computed polymorphs: 0.0000 eV per atom
- Crystal system: orthorhombic



This record from Alexandria via LeMat-Bulk describes FeCu4Pd3 after structural relaxation. The functional is PBE.

a b c (Å): 2.661 8.593 9.627
angles (deg): 90.00 90.00 90.00
Space group Immm (No. 71)
One atom of each set of equivalent atoms:
Fe  0.000  0.000  0.000 [2 per cell]
Cu  0.000  0.253  0.129 [8 per cell]
Pd  0.000  0.000  0.500 [2 per cell]
Pd  0.000  0.500  0.272 [4 per cell]

- Crystal system: orthorhombic



This record from Alexandria via LeMat-Bulk describes Fe2Cu3Pd4 after structural relaxation. The functional is PBE.

a b c (Å): 3.861 4.555 8.004
angles (deg): 76.37 89.93 64.93
Space group P-1 (No. 2)
One atom of each set of equivalent atoms:
Fe  0.172  0.156  0.226 [2 per cell]
Cu  0.165  0.170  0.551 [2 per cell]
Cu  0.500  0.500  0.000 [1 per cell]
Pd  0.165  0.170  0.888 [2 per cell]
Pd  0.491  0.519  0.667 [2 per cell]

- Crystal system: triclinic



This record from Alexandria via LeMat-Bulk describes FeCu2Pd6 after structural relaxation. The functional is PBE.

a b c (Å): 4.811 13.593 4.553
angles (deg): 90.00 117.58 90.00
Space group C2/m (No. 12)
One atom of each set of equivalent atoms:
Fe  0.000  0.000  0.000 [2 per cell]
Cu  0.000  0.169  0.500 [4 per cell]
Pd  0.177  0.337  0.835 [8 per cell]
Pd  0.186  0.500  0.342 [4 per cell]

- Relative energy among the computed polymorphs: 0.0600 eV per atom
- Crystal system: monoclinic



This record from Alexandria via LeMat-Bulk describes Fe2Cu3Pd8 after structural relaxation. The functional is PBE.

a b c (Å): 8.285 11.917 4.152
angles (deg): 90.00 90.00 90.00
Space group Cmmm (No. 65)
One atom of each set of equivalent atoms:
Fe  0.000  0.249  0.000 [4 per cell]
Cu  0.000  0.500  0.000 [2 per cell]
Cu  0.241  0.500  0.500 [4 per cell]
Pd  0.000  0.122  0.500 [4 per cell]
Pd  0.000  0.364  0.500 [4 per cell]
Pd  0.244  0.128  0.000 [8 per cell]

- Relative energy among the computed polymorphs: 0.1715 eV per atom
- Crystal system: orthorhombic



This record from Alexandria via LeMat-Bulk describes FeCu3Pd6 after structural relaxation. The functional is PBE.

a b c (Å): 7.240 4.444 9.535
angles (deg): 90.00 111.51 90.00
Space group P2_1/m (No. 11)
One atom of each set of equivalent atoms:
Fe  0.043  0.250  0.415 [2 per cell]
Cu  0.233  0.250  0.028 [2 per cell]
Cu  0.376  0.750  0.781 [2 per cell]
Cu  0.451  0.250  0.628 [2 per cell]
Pd  0.075  0.750  0.872 [2 per cell]
Pd  0.146  0.250  0.709 [2 per cell]
Pd  0.158  0.750  0.175 [2 per cell]
Pd  0.253  0.750  0.490 [2 per cell]
Pd  0.342  0.250  0.332 [2 per cell]
Pd  0.468  0.750  0.077 [2 per cell]

- Relative energy among the computed polymorphs: 0.0000 eV per atom
- Crystal system: monoclinic



This record from Alexandria via LeMat-Bulk describes FeCu3Pd4 after structural relaxation. The functional is PBE.

a b c (Å): 17.634 2.754 4.777
angles (deg): 90.00 105.25 90.00
Space group C2/m (No. 12)
One atom of each set of equivalent atoms:
Fe  0.000  0.000  0.000 [2 per cell]
Cu  0.000  0.500  0.500 [2 per cell]
Cu  0.250  0.000  0.249 [4 per cell]
Pd  0.124  0.000  0.793 [4 per cell]
Pd  0.124  0.500  0.293 [4 per cell]

- Relative energy among the computed polymorphs: 0.0712 eV per atom
- Crystal system: monoclinic



This record from Alexandria via LeMat-Bulk describes Fe2CuPd8 after structural relaxation. The functional is PBE.

a b c (Å): 13.854 3.948 6.172
angles (deg): 90.00 106.21 90.00
Space group C2/m (No. 12)
One atom of each set of equivalent atoms:
Fe  0.224  0.000  0.149 [4 per cell]
Cu  0.000  0.500  0.500 [2 per cell]
Pd  0.045  0.000  0.232 [4 per cell]
Pd  0.099  0.500  0.959 [4 per cell]
Pd  0.144  0.000  0.700 [4 per cell]
Pd  0.180  0.500  0.416 [4 per cell]

- Crystal system: monoclinic



no.,volume (Å³/cell),magnetic moment (μB/f.u.),ΔE_f (meV/atom)
1,139,6.01,57
2,223,10.64,-71
3,177,4.28,-29
4,406,3.88,57
5,296,0.05,-85
6,538,7.20,158
7,137,0.00,415
8,336,4.70,261
9,277,3.68,2
10,168,3.61,-37
11,147,6.72,183
12,521,8.06,-103
13,83,3.01,1017
14,331,4.31,-128
15,220,3.43,33
16,123,7.09,-80
17,264,4.64,-27
18,410,8.62,95
19,285,4.38,-82
20,224,3.97,-52
21,324,8.71,-86